A geometry-optimized Sm2YPd4 structure. Source: Alexandria via LeMat-Bulk, functional GGA-PBE.

```
Sm2YPd4
1.0
-5.3235 0.0455 0.1831
-2.4926 -2.3581 -4.0744
3.2885 -4.9925 5.0052
Sm Y Pd
2 1 4
Direct
0.2714 0.2714 0.6660
0.7286 0.7286 0.3340
0.0000 0.0000 0.0000
0.0000 0.5000 0.0000
0.3491 0.3491 0.3431
0.5000 0.0000 0.0000
0.6509 0.6509 0.6569
```

Values from the calculation:
Energy of formation: -0.540 eV per atom